DFT (PBE+U) results for a relaxed structure of ReNiNO2.

abc: 3.6434 3.6434 3.8312
angles: 90.00 90.00 90.00
Each line ends with the local moment (μB).
Atoms (fractional coordinates):
Re1 0.5000 0.5000 0.5000  2.70
N1 0.0000 0.0000 0.5000  -0.24
O1 0.0000 0.5000 0.0000  -0.02
O2 0.5000 0.0000 0.0000  -0.02
Ni1 0.0000 0.0000 0.0000  1.21

## Properties
Its symmetry is P4/mmm. The calculation puts the total energy at -28.758 eV/cell. As for the density of states at the Fermi level: 0.608 states/eV/atom. The volume is 51 Å³/cell. The calculation puts the total magnetic moment at 3.833 μB/f.u.